Material: FeSi2Tc
Method: DFT, PBE
State: optimized geometry

Values from the calculation:
formation energy (no corrections): -0.242 eV/atom
size of the total moment: 0.0 μB per cell
raw total energy: -7.661 eV/atom

a b c (Å): 7.648 2.700 4.930
angles (deg): 90.00 101.42 90.00
Space group C2/m (No. 12)
Asymmetric unit:
Fe 0.000 0.000 0.000
Si 0.242 0.500 0.215
Tc 0.000 0.500 0.500